# 1
Entry from Alexandria: a geometry-optimized ZrPa2Sb structure (PBE).

space-group type	P4/mmm (123)
formation energy from raw total energies	-0.17	eV per atom

Structure (POSCAR):
```
ZrPa2Sb
1.0
4.048 0.000 0.000
0.000 4.048 0.000
0.000 0.000 6.285
Sb Zr Pa
1 1 2
direct
0.500 0.500 0.000
0.500 0.500 0.500
0.000 0.000 0.218
0.000 0.000 0.782
```


# 2
Entry from Alexandria: a geometry-optimized Te2HIrN structure (PBE).

space-group type	P4/mmm (123)

Structure (POSCAR):
```
Te2HIrN
1.0
5.043 0.000 0.000
0.000 5.043 0.000
0.000 0.000 2.906
Te N Ir H
2 1 1 1
direct
0.000 0.500 0.000
0.500 0.000 0.000
0.000 0.000 0.500
0.500 0.500 0.500
0.000 0.000 0.000
```


# 3
Entry from Alexandria: a geometry-optimized Mo2RuAu structure (PBE).

space-group type	P4mm (99)

Structure (POSCAR):
```
Mo2RuAu
1.0
-1.507 -1.452 1.822
0.321 -2.280 -1.548
6.886 -1.880 4.197
Ru Mo Au
1 2 1
direct
0.000 0.000 0.481
0.000 0.000 0.007
0.500 0.500 0.267
0.500 0.500 0.746
```


| no. | energy above the most stable polymorph in this dataset (meV per atom) | DFT total energy (eV/atom) |
| --- | --- | --- |
| 1 | 151.1 | -8.084 |
| 2 | 230.2 | -4.308 |
| 3 | 105.4 | -8.358 |